<A>
First-principles (GGA-PBE) data for an optimized crystal structure of KPtBr2, as listed in Alexandria.

## Properties
Its space group is R-3m (166). The calculation puts the calculated density at 3.549 g cm⁻³. As for the calculated volume: 184 Å³/cell.

a = 7.190 Å, b = 7.190 Å, c = 7.190 Å
α = 47.40°, β = 47.40°, γ = 47.40°
Site moments in Bohr magnetons follow the coordinates.
Fractional positions:
Pt1 0.000 0.000 0.000  0.65
K1 0.500 0.500 0.500  0.00
Br1 0.123 0.123 0.123  0.12
Br2 0.877 0.877 0.877  0.12

<B>
First-principles (GGA-PBE) data for an optimized crystal structure of KPtBr2, as listed in Alexandria.

## Properties
Its space group is F-43m (216). The calculation puts the calculated density at 6.212 g cm⁻³. As for the calculated volume: 105 Å³/cell.

a = 5.301 Å, b = 5.301 Å, c = 5.301 Å
α = 60.00°, β = 60.00°, γ = 60.00°
Site moments in Bohr magnetons follow the coordinates.
Fractional positions:
Br1 0.250 0.250 0.250  0.18
Pt1 0.750 0.750 0.750  0.61
Br2 0.000 0.000 0.000  0.19
K1 0.500 0.500 0.500  0.00

<C>
First-principles (GGA-PBE) data for an optimized crystal structure of KPtBr2, as listed in Alexandria.

## Properties
Its space group is Immm (71). The calculation puts the calculated density at 5.605 g cm⁻³. As for the calculated volume: 117 Å³/cell.

a = 6.011 Å, b = 6.011 Å, c = 6.011 Å
α = 141.30°, β = 118.48°, γ = 75.09°
Site moments in Bohr magnetons follow the coordinates.
Fractional positions:
Br1 0.425 0.425 0.000  0.09
Br2 0.075 0.075 0.000  0.09
K1 0.750 0.250 0.500  0.00
Pt1 0.250 0.750 0.500  0.41

<D>
First-principles (GGA-PBE) data for an optimized crystal structure of KPtBr2, as listed in Alexandria.

## Properties
Its space group is Pmmm (47). The calculation puts the calculated density at 6.879 g cm⁻³. As for the calculated volume: 95 Å³/cell.

a = 5.149 Å, b = 5.202 Å, c = 3.550 Å
α = 90.00°, β = 90.00°, γ = 90.00°
Fractional positions:
Pt1 0.000 0.500 0.500
K1 0.500 0.000 0.500
Br1 0.000 0.000 0.000
Br2 0.500 0.500 0.000

Tell me which of them is the most stable. Sure, it is <C>.

<A>
First-principles (GGA-PBE) data for an optimized crystal structure of KPt3Br, as listed in Alexandria.

## Properties
Its space group is Pm-3m (221). The calculation puts the calculated density at 10.004 g cm⁻³. As for the calculated volume: 117 Å³/cell.

a = 4.889 Å, b = 4.889 Å, c = 4.889 Å
α = 90.00°, β = 90.00°, γ = 90.00°
Fractional positions:
Pt1 0.500 0.000 0.000
Pt2 0.000 0.000 0.500
Pt3 0.000 0.500 0.000
K1 0.500 0.500 0.500
Br1 0.000 0.000 0.000

<B>
First-principles (GGA-PBE) data for an optimized crystal structure of KPt3Br, as listed in Alexandria.

## Properties
Its space group is Pm-3m (221). The calculation puts the calculated density at 8.681 g cm⁻³. As for the calculated volume: 135 Å³/cell.

a = 5.126 Å, b = 5.126 Å, c = 5.126 Å
α = 90.00°, β = 90.00°, γ = 90.00°
Fractional positions:
K1 0.000 0.000 0.000
Pt1 0.500 0.000 0.000
Br1 0.500 0.500 0.500
Pt2 0.000 0.000 0.500
Pt3 0.000 0.500 0.000

Tell me which of them is the most stable. Sure, it is <A>.

<A>
First-principles (GGA-PBE) data for an optimized crystal structure of KPtBr3, as listed in Alexandria.

## Properties
Its space group is Pm-3m (221). The calculation puts the calculated density at 5.424 g cm⁻³. As for the calculated volume: 145 Å³/cell.

a = 5.255 Å, b = 5.255 Å, c = 5.255 Å
α = 90.00°, β = 90.00°, γ = 90.00°
Fractional positions:
Br1 0.000 0.500 0.000
Br2 0.000 0.000 0.500
Pt1 0.000 0.000 0.000
Br3 0.500 0.000 0.000
K1 0.500 0.500 0.500

<B>
First-principles (GGA-PBE) data for an optimized crystal structure of KPtBr3, as listed in Alexandria.

## Properties
Its space group is Pm-3m (221). The calculation puts the calculated density at 3.736 g cm⁻³. As for the calculated volume: 211 Å³/cell.

a = 5.950 Å, b = 5.950 Å, c = 5.950 Å
α = 90.00°, β = 90.00°, γ = 90.00°
Site moments in Bohr magnetons follow the coordinates.
Fractional positions:
Br1 0.000 0.500 0.000  0.29
Br2 0.000 0.000 0.500  0.29
Pt1 0.500 0.500 0.500  0.85
K1 0.000 0.000 0.000  0.00
Br3 0.500 0.000 0.000  0.29

Tell me which of them is the most stable. Sure, it is <A>.

<A>
First-principles (GGA-PBE) data for an optimized crystal structure of K2PtBr6, as listed in Alexandria.

## Properties
Its space group is C2/m (12). The calculation puts the calculated density at 4.270 g cm⁻³. As for the calculated volume: 293 Å³/cell.

a = 7.551 Å, b = 7.416 Å, c = 7.416 Å
α = 60.20°, β = 59.70°, γ = 59.70°
Fractional positions:
Br1 0.716 0.238 0.238
Br2 0.791 0.738 0.213
K1 0.250 0.249 0.249
Br3 0.791 0.213 0.738
Br4 0.209 0.787 0.262
Br5 0.284 0.762 0.762
K2 0.750 0.751 0.751
Br6 0.209 0.262 0.787
Pt1 0.000 0.000 0.000

<B>
First-principles (GGA-PBE) data for an optimized crystal structure of K2PtBr6, as listed in Alexandria.

## Properties
Its space group is Immm (71). The calculation puts the calculated density at 3.370 g cm⁻³. As for the calculated volume: 371 Å³/cell.

a = 8.638 Å, b = 8.638 Å, c = 8.638 Å
α = 128.71°, β = 130.89°, γ = 73.74°
Site moments in Bohr magnetons follow the coordinates.
Fractional positions:
Br1 0.184 0.500 0.684  0.23
Br2 0.367 0.125 0.243  0.07
Br3 0.816 0.500 0.316  0.23
Br4 0.882 0.125 0.757  0.07
Pt1 0.000 0.000 0.000  0.40
Br5 0.118 0.875 0.243  0.07
Br6 0.633 0.875 0.757  0.07
K1 0.676 0.676 0.000  0.00
K2 0.324 0.324 0.000  0.00

Tell me which of them is the most stable. Sure, it is <A>.